[1]
Entry from the Alexandria database: an optimized crystal structure of Na4Pu3FeSe8 (PBE).

Output
Formation energy (no corrections) = -1.15 eV per atom
Total magnetization = 18.214 μB per formula unit

Cell lengths 8.236, 8.399, 8.237 Å; angles 119.35, 120.00, 90.00 degrees
Site moments in Bohr magnetons follow the coordinates.
Fractional positions:
Fe: 0.000 0.500 0.000  3.34
Se: 0.256 0.268 0.512  -0.11
Na: 0.500 0.000 0.000  0.01
Se: 0.756 0.721 0.989  -0.06
Pu: 0.000 0.500 0.500  5.01
Pu: 0.500 0.500 0.000  5.01
Se: 0.744 0.732 0.488  -0.11
Pu: 0.500 0.500 0.500  5.01
Se: 0.232 0.720 0.464  -0.06
Se: 0.768 0.279 0.011  -0.06
Na: 0.000 0.000 0.000  0.00
Na: 0.500 0.000 0.500  0.00
Se: 0.244 0.279 0.011  -0.06
Na: 0.000 0.000 0.500  0.00
Se: 0.232 0.721 0.989  -0.06
Se: 0.768 0.280 0.536  -0.06

=====

[2]
Entry from the Alexandria database: an optimized crystal structure of Nd4Al2Ag5 (PBE).

Output
Electronic total energy = -3.957 eV/atom
Total magnetization = 0.000 μB per formula unit

Cell lengths 3.753, 7.907, 9.269 Å; angles 84.76, 90.00, 90.00 degrees
Fractional positions:
Ag: 0.000 0.601 0.370
Nd: 0.500 0.223 0.864
Nd: 0.500 0.269 0.366
Ag: 0.000 0.399 0.630
Nd: 0.500 0.777 0.136
Al: 0.000 0.064 0.621
Ag: 0.000 0.881 0.877
Ag: 0.000 0.500 0.000
Al: 0.000 0.936 0.379
Nd: 0.500 0.731 0.634
Ag: 0.000 0.119 0.123

=====

[3]
Entry from the Alexandria database: an optimized crystal structure of MnB2Rh (PBE).

Output
Offset from the most stable computed form = 0 meV/atom
Total magnetization = 0.000 μB per formula unit

Cell lengths 3.707, 3.707, 3.707 Å; angles 60.00, 60.00, 60.00 degrees
Fractional positions:
Mn: 0.000 0.000 0.000
Rh: 0.500 0.500 0.500
B: 0.750 0.750 0.750
B: 0.250 0.250 0.250

=====

[4]
Entry from the Alexandria database: an optimized crystal structure of Ac2PrCd6 (PBE).

Output
Electronic total energy = -2.384 eV/atom
Total magnetization = 0.277 μB per formula unit

Cell lengths 3.775, 8.902, 8.902 Å; angles 120.00, 90.00, 90.00 degrees
Site moments in Bohr magnetons follow the coordinates.
Fractional positions:
Cd: 0.500 0.672 0.000  0.00
Cd: 0.500 0.672 0.672  0.00
Cd: 0.500 0.000 0.328  0.00
Cd: 0.500 0.328 0.328  0.00
Ac: 0.000 0.333 0.667  0.01
Ac: 0.000 0.667 0.333  0.01
Cd: 0.500 0.000 0.672  0.00
Cd: 0.500 0.328 0.000  0.00
Pr: 0.000 0.000 0.000  0.07